Record 1
The following is a GGA-PBE calculation of an optimized crystal structure of LiSmSO, from the Open Quantum Materials Database.

Cell and atoms, written as CIF:
```
data_LiSmSO
_space_group_name_H-M_alt 'P c a 21'
_space_group_IT_number 29
_space_group_name_Hall 'P 2c -2ac'
_cell_length_a 5.671
_cell_length_b 9.280
_cell_length_c 5.590
_cell_angle_alpha 90.00
_cell_angle_beta 90.00
_cell_angle_gamma 90.00
loop_
_atom_site_label
_atom_site_fract_x
_atom_site_fract_y
_atom_site_fract_z
_atom_site_occupancy
Li1 0.141 0.037 0.000 1
Sm1 0.005 0.310 0.631 1
S1 0.008 0.646 0.631 1
O1 0.067 0.093 0.666 1
```

Calculated values
E   -6.1519 eV/atom


Record 2
The following is a GGA-PBE calculation of an optimized crystal structure of LiSmSO, from the Open Quantum Materials Database.

Cell and atoms, written as CIF:
```
data_LiSmSO
_space_group_name_H-M_alt 'C 1 2 1'
_space_group_IT_number 5
_space_group_name_Hall 'C 2y'
_cell_length_a 5.512
_cell_length_b 5.522
_cell_length_c 8.603
_cell_angle_alpha 90.00
_cell_angle_beta 90.46
_cell_angle_gamma 90.00
loop_
_atom_site_label
_atom_site_fract_x
_atom_site_fract_y
_atom_site_fract_z
_atom_site_occupancy
Li1 0.000 0.000 0.000 1
Li2 0.000 0.499 0.000 1
Sm1 0.248 0.744 0.361 1
S1 0.248 0.749 0.832 1
O1 0.000 0.495 0.500 1
O2 0.000 0.994 0.500 1
```

Calculated values
E   -6.3411 eV/atom


Record 3
The following is a GGA-PBE calculation of an optimized crystal structure of LiSmSO, from the Open Quantum Materials Database.

Cell and atoms, written as CIF:
```
data_LiSmSO
_space_group_name_H-M_alt 'P 4/n m m'
_space_group_IT_number 129
_cell_length_a 3.904
_cell_length_b 3.904
_cell_length_c 8.606
_cell_angle_alpha 90.00
_cell_angle_beta 90.00
_cell_angle_gamma 90.00
loop_
_space_group_symop_operation_xyz
'x,y,z'
'-x,-y,-z'
'-y+1/2,x,z'
'y+1/2,-x,-z'
'-x+1/2,-y+1/2,z'
'x+1/2,y+1/2,-z'
'y,-x+1/2,z'
'-y,x+1/2,-z'
'x+1/2,-y,-z'
'-x+1/2,y,z'
'-y,-x,-z'
'y,x,z'
'-x,y+1/2,-z'
'x,-y+1/2,z'
'y+1/2,x+1/2,-z'
'-y+1/2,-x+1/2,z'
loop_
_atom_site_label
_atom_site_fract_x
_atom_site_fract_y
_atom_site_fract_z
_atom_site_occupancy
Li1 0.250 0.750 0.000 1
Sm1 0.250 0.250 0.362 1
S1 0.250 0.250 0.832 1
O1 0.250 0.750 0.500 1
```

Calculated values
E   -6.3416 eV/atom